Crystalline TlInCoH2 at its relaxed geometry, computed with PBE.

Computed properties:
E_tot	-3.051	eV/atom
crystal system	tetragonal

Cell lengths 3.862, 3.862, 5.050 Å; angles 90.00, 90.00, 90.00 degrees
Positions (direct):
Tl (0.000, 0.000, 0.000)
In (0.500, 0.500, 0.000)
Co (0.000, 0.000, 0.500)
H (0.000, 0.500, 0.500)
H (0.500, 0.000, 0.500)